1.
Entry from Alexandria via LeMat-Bulk: an optimized crystal structure of Tb3Dy6Y2Mg (PBE).

Calculated values
Total moment   0.001 μB per cell
V   373 Å³ per cell
Density of states at the Fermi level   17.14 states/eV per cell
ΔH_f (0 K)   0.027 eV per atom
Space-group type   C2/m

a = 6.120 Å, b = 6.120 Å, c = 11.688 Å
α = 95.05°, β = 95.05°, γ = 120.04°
Sites, in units of the cell vectors:
1 Tb 0.000 0.000 0.000
2 Tb 0.334 0.666 0.000
3 Tb 0.666 0.334 0.000
4 Dy 0.086 0.418 0.251
5 Dy 0.249 0.249 0.750
6 Dy 0.418 0.086 0.251
7 Dy 0.582 0.914 0.749
8 Dy 0.751 0.751 0.250
9 Dy 0.914 0.582 0.749
10 Y 0.166 0.834 0.500
11 Y 0.834 0.166 0.500
12 Mg 0.500 0.500 0.500

2.
Entry from Alexandria via LeMat-Bulk: an optimized crystal structure of Tb2Dy4YMg (PBE).

Calculated values
Total moment   0.000 μB per cell
V   246 Å³ per cell
Density of states at the Fermi level   12.13 states/eV per cell
ΔH_f (0 K)   0.023 eV per atom
Space-group type   Pmmm

a = 4.958 Å, b = 4.969 Å, c = 9.983 Å
α = 90.00°, β = 90.00°, γ = 90.00°
Sites, in units of the cell vectors:
1 Tb 0.000 0.000 0.000
2 Tb 0.500 0.500 0.500
3 Dy 0.000 0.500 0.247
4 Dy 0.000 0.500 0.753
5 Dy 0.500 0.000 0.247
6 Dy 0.500 0.000 0.753
7 Y 0.000 0.000 0.500
8 Mg 0.500 0.500 0.000

3.
Entry from Alexandria via LeMat-Bulk: an optimized crystal structure of Tb2Dy6Y3Mg (PBE).

Calculated values
Total moment   0.000 μB per cell
V   374 Å³ per cell
Density of states at the Fermi level   16.90 states/eV per cell
ΔH_f (0 K)   0.029 eV per atom
Space-group type   C2/m

a = 6.125 Å, b = 6.125 Å, c = 11.683 Å
α = 95.04°, β = 95.04°, γ = 120.03°
Sites, in units of the cell vectors:
1 Tb 0.166 0.834 0.000
2 Tb 0.834 0.166 0.000
3 Dy 0.085 0.418 0.752
4 Dy 0.249 0.249 0.249
5 Dy 0.418 0.085 0.752
6 Dy 0.582 0.915 0.248
7 Dy 0.751 0.751 0.751
8 Dy 0.915 0.582 0.248
9 Y 0.000 0.000 0.500
10 Y 0.334 0.666 0.500
11 Y 0.666 0.334 0.500
12 Mg 0.500 0.500 0.000